Computed, not measured: a relaxed BaYCrAg2 crystal at the PBE-GGA level of DFT.

Lattice parameters (Å, degrees): 5.6157 5.5966 5.6157 90.00 90.00 90.00
Site moments in Bohr magnetons follow the coordinates.
Fractional coordinates of all 5 atoms:
Y1 0.5000 0.5000 0.5000  -0.10
Cr1 0.0000 0.5000 0.0000  4.05
Ba1 0.0000 0.0000 0.0000  0.10
Ag1 0.0000 0.0000 0.5000  0.02
Ag2 0.5000 0.0000 0.0000  0.00

Calculated values
uncorrected energy: -0.2592 Ry per atom
calculated density: 4.65 g cm⁻³
energy relative to the elements: 1.22 eV/atom
crystal system: tetragonal
symmetry: P4/mmm (123)
DOS at the Fermi energy: 3.95 states/eV/f.u.

=====

Computed, not measured: a relaxed BaYCr2Ag crystal at the PBE-GGA level of DFT.

Lattice parameters (Å, degrees): 5.1517 6.2165 5.1517 90.00 90.00 90.00
Site moments in Bohr magnetons follow the coordinates.
Fractional coordinates of all 5 atoms:
Y1 0.0000 0.0000 0.0000  -0.28
Cr1 0.0000 0.0000 0.5000  3.11
Cr2 0.5000 0.0000 0.0000  3.73
Ba1 0.0000 0.5000 0.0000  -0.14
Ag1 0.5000 0.5000 0.5000  -0.01

Calculated values
uncorrected energy: -0.3362 Ry per atom
calculated density: 4.41 g cm⁻³
energy relative to the elements: 1.52 eV/atom
crystal system: tetragonal
symmetry: P4/mmm (123)
DOS at the Fermi energy: 5.48 states/eV/f.u.

=====

Computed, not measured: a relaxed CsBaAg3 crystal at the PBE-GGA level of DFT.

Lattice parameters (Å, degrees): 6.2339 6.2339 6.2339 90.00 90.00 90.00
Fractional coordinates of all 5 atoms:
Cs1 0.0000 0.0000 0.0000
Ba1 0.5000 0.5000 0.5000
Ag1 0.0000 0.5000 0.0000
Ag2 0.0000 0.0000 0.5000
Ag3 0.5000 0.0000 0.0000

Calculated values
uncorrected energy: -0.1220 Ry per atom
ΔE to the lowest computed polymorph: 329 meV per atom
calculated density: 4.07 g cm⁻³
energy relative to the elements: 0.61 eV/atom
crystal system: cubic
symmetry: Pm-3m (221)
DOS at the Fermi energy: 0.37 states/eV/f.u.

=====

Computed, not measured: a relaxed CsBa2Ag2 crystal at the PBE-GGA level of DFT.

Lattice parameters (Å, degrees): 10.1177 10.1177 4.0297 90.00 90.00 90.00
Fractional coordinates of all 10 atoms:
Cs1 0.0000 0.0000 0.0000
Cs2 0.5000 0.5000 0.0000
Ba1 0.3623 0.8623 0.0000
Ba2 0.8623 0.6377 0.0000
Ba3 0.6377 0.1377 0.0000
Ba4 0.1377 0.3623 0.0000
Ag1 0.1518 0.6518 0.5000
Ag2 0.6518 0.8482 0.5000
Ag3 0.8482 0.3482 0.5000
Ag4 0.3482 0.1518 0.5000

Calculated values
uncorrected energy: -0.1545 Ry per atom
ΔE to the lowest computed polymorph: 70 meV per atom
calculated density: 5.02 g cm⁻³
energy relative to the elements: -0.02 eV/atom
crystal system: tetragonal
symmetry: P4/mbm (127)
DOS at the Fermi energy: 4.71 states/eV/f.u.

=====

Computed, not measured: a relaxed CsBaAg4 crystal at the PBE-GGA level of DFT.

Lattice parameters (Å, degrees): 6.1938 6.1938 6.1938 60.00 60.00 60.00
Fractional coordinates of all 6 atoms:
Cs1 0.2500 0.2500 0.2500
Ba1 0.0000 0.0000 0.0000
Ag1 0.6255 0.6255 0.1235
Ag2 0.6255 0.1235 0.6255
Ag3 0.6255 0.6255 0.6255
Ag4 0.1235 0.6255 0.6255

Calculated values
uncorrected energy: -0.1710 Ry per atom
calculated density: 6.93 g cm⁻³
energy relative to the elements: 0.04 eV/atom
crystal system: cubic
symmetry: F-43m (216)
DOS at the Fermi energy: 5.19 states/eV/f.u.

=====

Computed, not measured: a relaxed CsBa3Ag crystal at the PBE-GGA level of DFT.

Lattice parameters (Å, degrees): 6.4941 6.4941 6.4941 90.00 90.00 90.00
Fractional coordinates of all 5 atoms:
Cs1 0.0000 0.0000 0.0000
Ba1 0.0000 0.5000 0.0000
Ba2 0.0000 0.0000 0.5000
Ba3 0.5000 0.0000 0.0000
Ag1 0.5000 0.5000 0.5000

Calculated values
uncorrected energy: -0.0782 Ry per atom
ΔE to the lowest computed polymorph: 857 meV per atom
calculated density: 3.96 g cm⁻³
energy relative to the elements: 0.83 eV/atom
crystal system: cubic
symmetry: Pm-3m (221)
DOS at the Fermi energy: 8.87 states/eV/f.u.

=====

Which of these has the highest DOS at the Fermi energy?
CsBa3Ag